Computed, not measured: Er3Co5Se12 after structural relaxation at the PBE-GGA level of DFT.

Size of the total moment in μB per atom: 0.346
Calculated volume in Å³/cell: 1732
Density in Mg/m³: 6.69
E_form (uncorrected) in meV/atom: -691

```
Er3Co5Se12
1.0
-7.565 7.565 7.565
7.565 -7.565 7.565
7.565 7.565 -7.565
Er Co Se
12 20 48
Direct
0.125 0.250 0.375 Er
0.125 0.375 0.750 Er
0.250 0.375 0.125 Er
0.250 0.875 0.625 Er
0.375 0.125 0.250 Er
0.375 0.750 0.125 Er
0.625 0.250 0.875 Er
0.625 0.875 0.750 Er
0.750 0.125 0.375 Er
0.750 0.625 0.875 Er
0.875 0.625 0.250 Er
0.875 0.750 0.625 Er
0.000 0.000 0.000 Co
0.000 0.000 0.500 Co
0.000 0.500 0.000 Co
0.000 0.500 0.500 Co
0.125 0.750 0.875 Co
0.125 0.875 0.250 Co
0.250 0.125 0.875 Co
0.250 0.625 0.375 Co
0.375 0.250 0.625 Co
0.375 0.625 0.750 Co
0.500 0.000 0.000 Co
0.500 0.000 0.500 Co
0.500 0.500 0.000 Co
0.500 0.500 0.500 Co
0.625 0.375 0.250 Co
0.625 0.750 0.375 Co
0.750 0.375 0.625 Co
0.750 0.875 0.125 Co
0.875 0.125 0.750 Co
0.875 0.250 0.125 Co
0.027 0.203 0.116 Se
0.027 0.324 0.911 Se
0.087 0.703 0.676 Se
0.087 0.884 0.411 Se
0.089 0.616 0.413 Se
0.089 0.973 0.676 Se
0.116 0.027 0.203 Se
0.116 0.589 0.913 Se
0.176 0.203 0.587 Se
0.176 0.473 0.589 Se
0.203 0.116 0.027 Se
0.203 0.587 0.176 Se
0.297 0.324 0.913 Se
0.297 0.473 0.384 Se
0.324 0.911 0.027 Se
0.324 0.913 0.297 Se
0.384 0.297 0.473 Se
0.384 0.587 0.911 Se
0.411 0.087 0.884 Se
0.411 0.824 0.527 Se
0.413 0.089 0.616 Se
0.413 0.824 0.797 Se
0.473 0.384 0.297 Se
0.473 0.589 0.176 Se
0.527 0.411 0.824 Se
0.527 0.616 0.703 Se
0.587 0.176 0.203 Se
0.587 0.911 0.384 Se
0.589 0.176 0.473 Se
0.589 0.913 0.116 Se
0.616 0.413 0.089 Se
0.616 0.703 0.527 Se
0.676 0.087 0.703 Se
0.676 0.089 0.973 Se
0.703 0.527 0.616 Se
0.703 0.676 0.087 Se
0.797 0.413 0.824 Se
0.797 0.884 0.973 Se
0.824 0.527 0.411 Se
0.824 0.797 0.413 Se
0.884 0.411 0.087 Se
0.884 0.973 0.797 Se
0.911 0.027 0.324 Se
0.911 0.384 0.587 Se
0.913 0.116 0.589 Se
0.913 0.297 0.324 Se
0.973 0.676 0.089 Se
0.973 0.797 0.884 Se
```